Entry P
NiIrCl2: relaxed, GGA-PBE.

Unit cell a=7.786 b=7.786 c=7.786 alpha=25.88 beta=25.88 gamma=25.88
Last column: magnetic moment on the atom in μB.
Fractional coordinates of all 4 atoms:
Ni: 0.760 0.760 0.760  0.20
Ir: 0.488 0.488 0.488  0.51
Cl: 0.037 0.037 0.037  0.04
Cl: 0.215 0.215 0.215  0.05

Computed properties:
**N(E_F)**: 6.26 states/eV/cell

=====

Entry Q
NiIrCl2: relaxed, GGA-PBE.

Unit cell a=6.532 b=6.532 c=6.532 alpha=149.76 beta=149.76 gamma=43.29
Last column: magnetic moment on the atom in μB.
Fractional coordinates of all 4 atoms:
Ni: 0.750 0.250 0.500  0.94
Ir: 0.500 0.500 0.000  0.63
Cl: 0.000 0.000 0.000  0.05
Cl: 0.250 0.750 0.500  0.09

Computed properties:
**N(E_F)**: 5.70 states/eV/cell

=====

Entry R
NiIrCl2: relaxed, GGA-PBE.

Unit cell a=2.913 b=5.769 c=3.944 alpha=90.00 beta=90.00 gamma=90.00
Last column: magnetic moment on the atom in μB.
Fractional coordinates of all 4 atoms:
Ni: 0.000 0.500 0.500  0.92
Ir: 0.500 0.000 0.500  0.60
Cl: 0.000 0.000 0.000  0.02
Cl: 0.500 0.500 0.000  0.09

Computed properties:
**N(E_F)**: 4.35 states/eV/cell

=====

Entry S
NiIrCl2: relaxed, GGA-PBE.

Unit cell a=5.040 b=5.040 c=5.040 alpha=146.31 beta=111.70 gamma=78.36
Last column: magnetic moment on the atom in μB.
Fractional coordinates of all 4 atoms:
Ni: 0.250 0.750 0.500  0.56
Ir: 0.750 0.250 0.500  0.20
Cl: 0.001 0.001 0.000  0.01
Cl: 0.499 0.499 0.000  0.01

Computed properties:
**N(E_F)**: 4.91 states/eV/cell

=====

entry P wins, 534 meV/atom ahead of the next structure.